Version a
A plane-wave DFT calculation with PBE-GGA was carried out for La2CuH after structural relaxation.

a = 7.062 Å, b = 7.062 Å, c = 7.062 Å
α = 90.00°, β = 90.00°, γ = 90.00°
Space group Fm-3m (No. 225)
One atom of each set of equivalent atoms:
La 0.250 0.250 0.250 (multiplicity 8)
Cu 0.000 0.000 0.000 (multiplicity 4)
H 0.000 0.000 0.500 (multiplicity 4)

Calculated values
- Total magnetization: 0.000 μB/f.u.

---

Version b
A plane-wave DFT calculation with PBE-GGA was carried out for La2CuH after structural relaxation.

a = 3.9002 Å, b = 3.9002 Å, c = 20.8969 Å
α = 90.00°, β = 90.00°, γ = 120.00°
Space group R3m (No. 160, hexagonal axes)
One atom of each set of equivalent atoms:
La 0.0000 0.0000 0.0000 (multiplicity 3)
La 0.0000 0.0000 0.1905 (multiplicity 3)
Cu 0.0000 0.0000 0.4273 (multiplicity 3)
H 0.0000 0.0000 0.5943 (multiplicity 3)

Calculated values
- Total magnetization: 0.000 μB/f.u.

---

Relative to the most stable structure, the computed energies are version a 0.186; version b 0.000, all in eV/atom.

---

Version a
A plane-wave DFT calculation with PBE-GGA was carried out for La2CuNiH after structural relaxation.

a = 5.175 Å, b = 5.175 Å, c = 3.585 Å
α = 90.00°, β = 90.00°, γ = 90.00°
Space group P4/mmm (No. 123)
One atom of each set of equivalent atoms:
La 0.000 0.500 0.000 (multiplicity 2)
Cu 0.000 0.000 0.500 (multiplicity 1)
Ni 0.500 0.500 0.500 (multiplicity 1)
H 0.500 0.500 0.000 (multiplicity 1)

Calculated values
- Total magnetization: 0.000 μB/f.u.

---

Version b
A plane-wave DFT calculation with PBE-GGA was carried out for La2CuNiH after structural relaxation.

a = 5.057 Å, b = 5.057 Å, c = 3.741 Å
α = 90.00°, β = 90.00°, γ = 90.00°
Space group P4/mmm (No. 123)
One atom of each set of equivalent atoms:
La 0.000 0.500 0.000 (multiplicity 2)
Cu 0.000 0.000 0.500 (multiplicity 1)
Ni 0.500 0.500 0.500 (multiplicity 1)
H 0.000 0.000 0.000 (multiplicity 1)

Calculated values
- Total magnetization: 0.000 μB/f.u.

---

Version c
A plane-wave DFT calculation with PBE-GGA was carried out for La2CuNiH after structural relaxation.

a = 6.428 Å, b = 4.300 Å, c = 7.542 Å
α = 90.00°, β = 104.19°, γ = 90.00°
Space group P2_1/m (No. 11)
One atom of each set of equivalent atoms:
La 0.236 0.250 0.431 (multiplicity 2)
La 0.243 0.250 0.960 (multiplicity 2)
Cu 0.353 0.750 0.717 (multiplicity 2)
Ni 0.416 0.750 0.233 (multiplicity 2)
H 0.153 0.750 0.188 (multiplicity 2)

Calculated values
- Total magnetization: 0.000 μB/f.u.

---

Relative to the most stable structure, the computed energies are version a 0.048; version b 0.085; version c 0.000, all in eV/atom.

---

Version a
A plane-wave DFT calculation with PBE-GGA was carried out for La2CuHPd after structural relaxation.

a = 5.126 Å, b = 5.126 Å, c = 3.817 Å
α = 90.00°, β = 90.00°, γ = 90.00°
Space group P4/mmm (No. 123)
One atom of each set of equivalent atoms:
La 0.000 0.500 0.000 (multiplicity 2)
Cu 0.000 0.000 0.500 (multiplicity 1)
H 0.000 0.000 0.000 (multiplicity 1)
Pd 0.500 0.500 0.500 (multiplicity 1)

Calculated values
- Total magnetization: 0.000 μB/f.u.

---

Version b
A plane-wave DFT calculation with PBE-GGA was carried out for La2CuHPd after structural relaxation.

a = 5.221 Å, b = 5.221 Å, c = 3.780 Å
α = 90.00°, β = 90.00°, γ = 90.00°
Space group P4/mmm (No. 123)
One atom of each set of equivalent atoms:
La 0.000 0.500 0.000 (multiplicity 2)
Cu 0.000 0.000 0.500 (multiplicity 1)
H 0.500 0.500 0.000 (multiplicity 1)
Pd 0.500 0.500 0.500 (multiplicity 1)

Calculated values
- Total magnetization: 0.000 μB/f.u.

---

Relative to the most stable structure, the computed energies are version a 0.000; version b 0.025, all in eV/atom.

---

Version a
A plane-wave DFT calculation with PBE-GGA was carried out for La2CuHPt after structural relaxation.

a = 5.131 Å, b = 5.131 Å, c = 3.774 Å
α = 90.00°, β = 90.00°, γ = 90.00°
Space group P4/mmm (No. 123)
One atom of each set of equivalent atoms:
La 0.000 0.500 0.000 (multiplicity 2)
Cu 0.000 0.000 0.500 (multiplicity 1)
H 0.000 0.000 0.000 (multiplicity 1)
Pt 0.500 0.500 0.500 (multiplicity 1)

Calculated values
- Total magnetization: 0.000 μB/f.u.

---

Version b
A plane-wave DFT calculation with PBE-GGA was carried out for La2CuHPt after structural relaxation.

a = 5.216 Å, b = 5.216 Å, c = 3.775 Å
α = 90.00°, β = 90.00°, γ = 90.00°
Space group P4/mmm (No. 123)
One atom of each set of equivalent atoms:
La 0.000 0.500 0.000 (multiplicity 2)
Cu 0.000 0.000 0.500 (multiplicity 1)
H 0.500 0.500 0.000 (multiplicity 1)
Pt 0.500 0.500 0.500 (multiplicity 1)

Calculated values
- Total magnetization: 0.000 μB/f.u.

---

Relative to the most stable structure, the computed energies are version a 0.000; version b 0.056, all in eV/atom.

---

Version a
A plane-wave DFT calculation with PBE-GGA was carried out for La2ZnCuH after structural relaxation.

a = 5.113 Å, b = 5.113 Å, c = 3.967 Å
α = 90.00°, β = 90.00°, γ = 90.00°
Space group P4/mmm (No. 123)
One atom of each set of equivalent atoms:
La 0.000 0.500 0.000 (multiplicity 2)
Zn 0.000 0.000 0.500 (multiplicity 1)
Cu 0.500 0.500 0.500 (multiplicity 1)
H 0.000 0.000 0.000 (multiplicity 1)

Calculated values
- Total magnetization: 0.082 μB/f.u.

---

Version b
A plane-wave DFT calculation with PBE-GGA was carried out for La2ZnCuH after structural relaxation.

a = 5.156 Å, b = 5.156 Å, c = 3.877 Å
α = 90.00°, β = 90.00°, γ = 90.00°
Space group P4/mmm (No. 123)
One atom of each set of equivalent atoms:
La 0.000 0.500 0.000 (multiplicity 2)
Zn 0.000 0.000 0.500 (multiplicity 1)
Cu 0.500 0.500 0.500 (multiplicity 1)
H 0.500 0.500 0.000 (multiplicity 1)

Calculated values
- Total magnetization: 0.013 μB/f.u.

---

Relative to the most stable structure, the computed energies are version a 0.056; version b 0.000, all in eV/atom.

---

Version a
A plane-wave DFT calculation with PBE-GGA was carried out for LiCu3H after structural relaxation.

a = 4.135 Å, b = 4.135 Å, c = 4.135 Å
α = 90.00°, β = 90.00°, γ = 90.00°
Space group Pm-3m (No. 221)
One atom of each set of equivalent atoms:
Li 0.000 0.000 0.000 (multiplicity 1)
Cu 0.000 0.000 0.500 (multiplicity 3)
H 0.500 0.500 0.500 (multiplicity 1)

Calculated values
- Total magnetization: 0.000 μB/f.u.

---

Version b
A plane-wave DFT calculation with PBE-GGA was carried out for LiCu3H after structural relaxation.

a = 3.721 Å, b = 3.721 Å, c = 3.721 Å
α = 90.00°, β = 90.00°, γ = 90.00°
Space group Pm-3m (No. 221)
One atom of each set of equivalent atoms:
Li 0.000 0.000 0.000 (multiplicity 1)
Cu 0.000 0.500 0.500 (multiplicity 3)
H 0.500 0.500 0.500 (multiplicity 1)

Calculated values
- Total magnetization: 0.000 μB/f.u.

---

Relative to the most stable structure, the computed energies are version a 1.173; version b 0.000, all in eV/atom.

---

Version a
A plane-wave DFT calculation with PBE-GGA was carried out for LiCuH2 after structural relaxation.

a = 2.7610 Å, b = 2.7610 Å, c = 14.3251 Å
α = 90.00°, β = 90.00°, γ = 120.00°
Space group R3m (No. 160, hexagonal axes)
One atom of each set of equivalent atoms:
Li 0.0000 0.0000 0.0000 (multiplicity 3)
Cu 0.0000 0.0000 0.8227 (multiplicity 3)
H 0.0000 0.0000 0.2224 (multiplicity 3)
H 0.0000 0.0000 0.4084 (multiplicity 3)

Calculated values
- Total magnetization: 0.000 μB/f.u.

---

Version b
A plane-wave DFT calculation with PBE-GGA was carried out for LiCuH2 after structural relaxation.

a = 2.7605 Å, b = 2.7605 Å, c = 13.6682 Å
α = 90.00°, β = 90.00°, γ = 120.00°
Space group R-3m (No. 166, hexagonal axes)
One atom of each set of equivalent atoms:
Li 0.0000 0.0000 0.0000 (multiplicity 3)
Cu 0.0000 0.0000 0.5000 (multiplicity 3)
H 0.0000 0.0000 0.2437 (multiplicity 6)

Calculated values
- Total magnetization: 0.000 μB/f.u.

---

Version c
A plane-wave DFT calculation with PBE-GGA was carried out for LiCuH2 after structural relaxation.

a = 4.268 Å, b = 4.268 Å, c = 7.528 Å
α = 90.00°, β = 90.00°, γ = 90.00°
Space group I-42d (No. 122)
One atom of each set of equivalent atoms:
Li 0.000 0.000 0.000 (multiplicity 4)
Cu 0.000 0.000 0.500 (multiplicity 4)
H 0.206 0.250 0.625 (multiplicity 8)

Calculated values
- Total magnetization: 0.000 μB/f.u.

---

Relative to the most stable structure, the computed energies are version a 0.165; version b 0.111; version c 0.000, all in eV/atom.

---

Version a
A plane-wave DFT calculation with PBE-GGA was carried out for Li2CuH4 after structural relaxation.

a = 4.794 Å, b = 8.556 Å, c = 5.868 Å
α = 90.00°, β = 90.00°, γ = 90.00°
Space group Cmcm (No. 63)
One atom of each set of equivalent atoms:
Li 0.000 0.000 0.000 (multiplicity 4)
Li 0.000 0.318 0.250 (multiplicity 4)
Cu 0.000 0.372 0.750 (multiplicity 4)
H 0.000 0.235 0.570 (multiplicity 8)
H 0.246 0.007 0.250 (multiplicity 8)

Calculated values
- Total magnetization: 0.000 μB/f.u.

---

Version b
A plane-wave DFT calculation with PBE-GGA was carried out for Li2CuH4 after structural relaxation.

a = 6.574 Å, b = 8.303 Å, c = 4.431 Å
α = 90.00°, β = 90.00°, γ = 90.00°
Space group Cmcm (No. 63)
One atom of each set of equivalent atoms:
Li 0.233 0.152 0.250 (multiplicity 8)
Cu 0.000 0.117 0.750 (multiplicity 4)
H 0.000 0.248 0.021 (multiplicity 8)
H 0.235 0.092 0.750 (multiplicity 8)

Calculated values
- Total magnetization: 0.000 μB/f.u.

---

Version c
A plane-wave DFT calculation with PBE-GGA was carried out for Li2CuH4 after structural relaxation.

a = 3.380 Å, b = 3.380 Å, c = 10.068 Å
α = 90.00°, β = 90.00°, γ = 90.00°
Space group I4/mmm (No. 139)
One atom of each set of equivalent atoms:
Li 0.000 0.000 0.139 (multiplicity 4)
Cu 0.000 0.000 0.500 (multiplicity 2)
H 0.000 0.000 0.334 (multiplicity 4)
H 0.000 0.500 0.000 (multiplicity 4)

Calculated values
- Total magnetization: 0.000 μB/f.u.

---

Relative to the most stable structure, the computed energies are version a 0.087; version b 0.039; version c 0.000, all in eV/atom.